Record 1
This record from Alexandria describes a geometry-optimized Rb2TiVO5 structure. The functional is PBE with a Hubbard U.

Values from the calculation:
Size of the total moment (μB per cell): 2.000
Crystal system: orthorhombic
Total energy (eV/f.u.): -61.75

a = 3.2070 Å, b = 7.9216 Å, c = 12.4180 Å
α = 90.00°, β = 90.00°, γ = 101.68°
Fractional positions:
1 O 0.4904 0.9807 0.3181
2 O 0.5096 0.0193 0.8181
3 O 0.3223 0.6446 0.4196
4 O 0.9479 0.8958 0.5213
5 O 0.0521 0.1042 0.0213
6 O 0.7119 0.4239 0.1227
7 O 0.2881 0.5761 0.6227
8 O 0.6742 0.3485 0.4976
9 O 0.3258 0.6515 0.9976
10 O 0.6777 0.3554 0.9196
11 Ti 0.7822 0.5644 0.5299
12 Ti 0.2178 0.4356 0.0299
13 Rb 0.1482 0.2963 0.3091
14 Rb 0.1024 0.2048 0.6651
15 Rb 0.8976 0.7952 0.1651
16 Rb 0.8518 0.7037 0.8091
17 V 0.4420 0.8839 0.4407
18 V 0.5580 0.1161 0.9407

=====

Record 2
This record from Alexandria describes a geometry-optimized Rb3TiV2O8 structure. The functional is PBE with a Hubbard U.

Values from the calculation:
Size of the total moment (μB per cell): 1.008
Crystal system: trigonal
Total energy (eV/f.u.): -95.56

a = 5.8064 Å, b = 5.8064 Å, c = 7.9476 Å
α = 90.00°, β = 90.00°, γ = 120.00°
Fractional positions:
1 V 0.6667 0.3333 0.7189
2 V 0.3333 0.6667 0.2811
3 O 0.6692 0.8346 0.3556
4 O 0.1654 0.3308 0.3556
5 O 0.1654 0.8346 0.3556
6 O 0.6667 0.3333 0.9319
7 O 0.3333 0.6667 0.0681
8 O 0.8346 0.6692 0.6444
9 O 0.3308 0.1654 0.6444
10 O 0.8346 0.1654 0.6444
11 Rb 0.3333 0.6667 0.7169
12 Rb 0.6667 0.3333 0.2831
13 Rb 0.0000 0.0000 0.0000
14 Ti 0.0000 0.0000 0.5000

=====

Record 3
This record from Alexandria describes a geometry-optimized RbTiV2O8 structure. The functional is PBE with a Hubbard U.

Values from the calculation:
Size of the total moment (μB per cell): 1.081
Crystal system: trigonal
Total energy (eV/f.u.): -88.06

a = 5.6285 Å, b = 5.6285 Å, c = 7.8312 Å
α = 90.00°, β = 90.00°, γ = 120.00°
Fractional positions:
1 Ti 0.0000 0.0000 0.5000
2 O 0.1622 0.3237 0.6462
3 O 0.8385 0.1622 0.3538
4 O 0.1615 0.8378 0.6462
5 O 0.6763 0.8385 0.6462
6 O 0.3333 0.6667 0.9310
7 O 0.3237 0.1615 0.3538
8 O 0.8378 0.6763 0.3538
9 O 0.6667 0.3333 0.0690
10 V 0.6667 0.3333 0.2819
11 V 0.3333 0.6667 0.7181
12 Rb 0.0000 0.0000 0.0000

=====

Record 4
This record from Alexandria describes a geometry-optimized RbTi2WO8 structure. The functional is PBE with a Hubbard U.

Values from the calculation:
Size of the total moment (μB per cell): 0.967
Crystal system: monoclinic
Total energy (eV/f.u.): -91.46

a = 5.4414 Å, b = 5.4415 Å, c = 7.6125 Å
α = 73.33°, β = 73.33°, γ = 66.43°
Fractional positions:
1 Ti 0.4315 0.4315 0.7421
2 Ti 0.5685 0.5685 0.2579
3 O 0.6193 0.6193 0.4790
4 O 0.7604 0.2267 0.8219
5 O 0.2267 0.7604 0.8220
6 O 0.7733 0.2396 0.1780
7 O 0.2396 0.7733 0.1781
8 O 0.3807 0.3807 0.5210
9 O 0.7756 0.7756 0.1043
10 O 0.2244 0.2244 0.8957
11 Rb 0.0000 0.0000 0.5000
12 W 0.0000 0.0000 0.0000

=====

Record 5
This record from Alexandria describes a geometry-optimized RbTiWO6 structure. The functional is PBE with a Hubbard U.

Values from the calculation:
Size of the total moment (μB per cell): 1.063
Crystal system: monoclinic
Total energy (eV/f.u.): -65.18

a = 5.4247 Å, b = 5.3387 Å, c = 6.1254 Å
α = 90.18°, β = 90.09°, γ = 60.52°
Fractional positions:
1 Rb 0.0033 0.9984 0.0000
2 O 0.0032 0.5955 0.6536
3 O 0.0032 0.4014 0.3465
4 O 0.5880 0.4041 0.6882
5 O 0.5880 0.0079 0.3118
6 O 0.4080 0.9998 0.6837
7 O 0.4081 0.5921 0.3162
8 Ti 0.6380 0.6810 0.4998
9 W 0.3599 0.3200 0.5001

=====

Record 6
This record from Alexandria describes a geometry-optimized Rb2TiWO6 structure. The functional is PBE with a Hubbard U.

Values from the calculation:
Size of the total moment (μB per cell): 0.000
Crystal system: tetragonal
Total energy (eV/f.u.): -69.74

a = 5.3787 Å, b = 5.3787 Å, c = 6.8487 Å
α = 113.12°, β = 113.12°, γ = 90.00°
Fractional positions:
1 O 0.7467 0.2385 0.9847
2 O 0.7466 0.7471 0.9847
3 O 0.2380 0.7472 0.9847
4 O 0.6875 0.6880 0.3749
5 O 0.2381 0.2386 0.9848
6 O 0.1910 0.1915 0.3821
7 W 0.0336 0.0341 0.0671
8 Rb 0.2902 0.7907 0.5805
9 Rb 0.7902 0.2907 0.5805
10 Ti 0.5369 0.5374 0.0738